# LaPuTl2 | Alexandria | PBE | optimized geometry
data_LaPuTl2
_space_group_name_H-M_alt 'P 4/m m m'
_space_group_IT_number 123
_space_group_name_Hall '-P 4 2'
_cell_length_a 5.024
_cell_length_b 5.024
_cell_length_c 4.637
_cell_angle_alpha 90.00
_cell_angle_beta 90.00
_cell_angle_gamma 90.00
loop_
_atom_site_label
_atom_site_type_symbol
_atom_site_fract_x
_atom_site_fract_y
_atom_site_fract_z
_atom_site_occupancy
La1 La 0.000 0.000 0.000 1
Pu1 Pu 0.500 0.500 0.000 1
Tl1 Tl 0.000 0.500 0.500 1
# **E**: -6.196 eV/atom
# **Formation energy from the elements**: -0.1983 eV per atom
# **Energy above the most stable polymorph in this dataset**: 10 meV per atom
# **M_tot**: 6.23 μB/cell